Entry from the Alexandria database: an optimized crystal structure of ScTl2OsSe (GGA-PBE).

```
data_ScTl2OsSe
_symmetry_space_group_name_H-M 'P 4/m m m'
_symmetry_Int_Tables_number 123
_symmetry_space_group_name_Hall '-P 4 2'
_cell_length_a 5.4253
_cell_length_b 5.4253
_cell_length_c 4.6181
_cell_angle_alpha 90.00
_cell_angle_beta 90.00
_cell_angle_gamma 90.00
loop_
_atom_site_label
_atom_site_fract_x
_atom_site_fract_y
_atom_site_fract_z
Sc1 0.0000 0.0000 0.0000
Tl1 0.0000 0.5000 0.5000
Os1 0.5000 0.5000 0.5000
Se1 0.5000 0.5000 0.0000
```

Computed properties:
ρ (Mg/m³): 8.831
DFT total energy (eV/atom): -4.537
Uncorrected formation energy (eV per atom): 0.62


Entry from the Alexandria database: an optimized crystal structure of Pm2NdAs (GGA-PBE).

```
data_Pm2NdAs
_symmetry_space_group_name_H-M 'P 4/m m m'
_symmetry_Int_Tables_number 123
_symmetry_space_group_name_Hall '-P 4 2'
_cell_length_a 4.7687
_cell_length_b 4.7687
_cell_length_c 4.7517
_cell_angle_alpha 90.00
_cell_angle_beta 90.00
_cell_angle_gamma 90.00
loop_
_atom_site_label
_atom_site_fract_x
_atom_site_fract_y
_atom_site_fract_z
Pm1 0.0000 0.5000 0.0000
Nd1 0.0000 0.0000 0.5000
As1 0.5000 0.5000 0.5000
```

Computed properties:
Relative energy among the computed polymorphs (eV/atom): 0.137
ρ (Mg/m³): 7.825
DFT total energy (eV/atom): -5.213
Calculated formation energy (meV/atom): -483


Entry from the Alexandria database: an optimized crystal structure of Cu2NiPd6 (GGA-PBE).

```
data_Cu2NiPd6
_symmetry_space_group_name_H-M 'C 1 2/m 1'
_symmetry_Int_Tables_number 12
_cell_length_a 7.2706
_cell_length_b 4.5303
_cell_length_c 7.9699
_cell_angle_alpha 90.00
_cell_angle_beta 97.21
_cell_angle_gamma 90.00
loop_
_symmetry_equiv_pos_as_xyz
'x,y,z'
'-x,-y,-z'
'-x,y,-z'
'x,-y,z'
'x+1/2,y+1/2,z'
'-x+1/2,-y+1/2,-z'
'-x+1/2,y+1/2,-z'
'x+1/2,-y+1/2,z'
loop_
_atom_site_label
_atom_site_fract_x
_atom_site_fract_y
_atom_site_fract_z
Cu1 0.1705 0.0000 0.4427
Ni1 0.0000 0.5000 0.0000
Pd1 0.0058 0.5000 0.3338
Pd2 0.1625 0.0000 0.7678
Pd3 0.1691 0.0000 0.1079
```

Computed properties:
Relative energy among the computed polymorphs (eV/atom): 0.078
ρ (Mg/m³): 10.511
DFT total energy (eV/atom): -4.978
Calculated formation energy (meV/atom): 36


Entry from the Alexandria database: an optimized crystal structure of LiYZr2 (GGA-PBE).

```
data_LiYZr2
_symmetry_space_group_name_H-M 'I m m m'
_symmetry_Int_Tables_number 71
_symmetry_space_group_name_Hall '-I 2 2'
_cell_length_a 3.3988
_cell_length_b 5.0685
_cell_length_c 10.8267
_cell_angle_alpha 90.00
_cell_angle_beta 90.00
_cell_angle_gamma 90.00
loop_
_atom_site_label
_atom_site_fract_x
_atom_site_fract_y
_atom_site_fract_z
Li1 0.0000 0.0000 0.0000
Y1 0.0000 0.0000 0.5000
Zr1 0.0000 0.5000 0.2794
```

Computed properties:
Relative energy among the computed polymorphs (eV/atom): 0.000
ρ (Mg/m³): 4.955
DFT total energy (eV/atom): -6.250
Calculated formation energy (meV/atom): 118


Entry from the Alexandria database: an optimized crystal structure of Tb6IrRh3 (GGA-PBE).

```
data_Tb6IrRh3
_symmetry_space_group_name_H-M 'P n n m'
_symmetry_Int_Tables_number 58
_cell_length_a 8.2494
_cell_length_b 12.0835
_cell_length_c 4.7622
_cell_angle_alpha 90.00
_cell_angle_beta 90.00
_cell_angle_gamma 90.00
loop_
_symmetry_equiv_pos_as_xyz
'x,y,z'
'-x,-y,-z'
'-x,-y,z'
'x,y,-z'
'x+1/2,-y+1/2,-z+1/2'
'-x+1/2,y+1/2,z+1/2'
'-x+1/2,y+1/2,-z+1/2'
'x+1/2,-y+1/2,z+1/2'
loop_
_atom_site_label
_atom_site_fract_x
_atom_site_fract_y
_atom_site_fract_z
Tb1 0.0017 0.2456 0.0000
Tb2 0.1613 0.4113 0.5000
Tb3 0.1717 0.0803 0.5000
Ir1 0.0000 0.5000 0.0000
Rh1 0.0000 0.0000 0.0000
Rh2 0.1638 0.8371 0.5000
```

Computed properties:
ρ (Mg/m³): 10.176
DFT total energy (eV/atom): -6.518
Calculated formation energy (meV/atom): -648


Entry from the Alexandria database: an optimized crystal structure of Pm3As2C (GGA-PBE).

```
data_Pm3As2C
_symmetry_space_group_name_H-M 'C 1 2/c 1'
_symmetry_Int_Tables_number 15
_cell_length_a 13.0268
_cell_length_b 5.8984
_cell_length_c 7.8971
_cell_angle_alpha 90.00
_cell_angle_beta 107.55
_cell_angle_gamma 90.00
loop_
_symmetry_equiv_pos_as_xyz
'x,y,z'
'-x,-y,-z'
'-x,y,-z+1/2'
'x,-y,z+1/2'
'x+1/2,y+1/2,z'
'-x+1/2,-y+1/2,-z'
'-x+1/2,y+1/2,-z+1/2'
'x+1/2,-y+1/2,z+1/2'
loop_
_atom_site_label
_atom_site_fract_x
_atom_site_fract_y
_atom_site_fract_z
Pm1 0.0000 0.0290 0.2500
Pm2 0.1448 0.4985 0.5730
As1 0.1737 0.0031 0.0864
C1 0.0000 0.4591 0.2500
```

Computed properties:
ρ (Mg/m³): 6.852
DFT total energy (eV/atom): -6.307
Calculated formation energy (meV/atom): -844


Entry from the Alexandria database: an optimized crystal structure of CePa2Ta (GGA-PBE).

```
data_CePa2Ta
_symmetry_space_group_name_H-M 'R -3 m'
_symmetry_Int_Tables_number 166
_symmetry_space_group_name_Hall '-R 3 2"'
_cell_length_a 3.0639
_cell_length_b 3.0639
_cell_length_c 34.1579
_cell_angle_alpha 90.00
_cell_angle_beta 90.00
_cell_angle_gamma 120.00
loop_
_atom_site_label
_atom_site_fract_x
_atom_site_fract_y
_atom_site_fract_z
Ce1 0.0000 0.0000 0.0000
Pa1 0.0000 0.0000 0.0878
Ta1 0.0000 0.0000 0.5000
```

Computed properties:
Relative energy among the computed polymorphs (eV/atom): 0.015
ρ (Mg/m³): 14.048
DFT total energy (eV/atom): -8.987
Calculated formation energy (meV/atom): 207


Entry from the Alexandria database: an optimized crystal structure of Cs4Ag2Pt (GGA-PBE).

```
data_Cs4Ag2Pt
_symmetry_space_group_name_H-M 'I 4/m m m'
_symmetry_Int_Tables_number 139
_symmetry_space_group_name_Hall '-I 4 2'
_cell_length_a 6.5522
_cell_length_b 6.5522
_cell_length_c 19.5735
_cell_angle_alpha 90.00
_cell_angle_beta 90.00
_cell_angle_gamma 90.00
loop_
_atom_site_label
_atom_site_fract_x
_atom_site_fract_y
_atom_site_fract_z
Cs1 0.0000 0.0000 0.1683
Cs2 0.0000 0.5000 0.0000
Ag1 0.0000 0.0000 0.3616
Pt1 0.0000 0.0000 0.0000
```

Computed properties:
ρ (Mg/m³): 3.725
DFT total energy (eV/atom): -2.097
Calculated formation energy (meV/atom): 69